Material: CsBaVO4
Method: DFT, PBE+U
State: optimized geometry

a b c (Å): 6.5473 6.1685 8.1784
angles (deg): 90.00 105.12 90.00
With the nearest neighbours (Å) after each atom.
Atoms (fractional coordinates):
O1 0.5981 0.2500 0.8081  1 V 1.74
O2 0.3945 0.7500 0.5333  1 V 1.74
O3 0.4019 0.7500 0.1919  1 V 1.74
O4 0.0681 0.9764 0.3012  1 V 1.75
O5 0.9319 0.0236 0.6988  1 V 1.75
O6 0.9319 0.4764 0.6988  1 V 1.75
O7 0.6055 0.2500 0.4667  1 V 1.74
O8 0.0681 0.5236 0.3012  1 V 1.75
V1 0.7654 0.2500 0.6734  4 O 1.74-1.75
V2 0.2346 0.7500 0.3266  4 O 1.74-1.75
Ba1 0.2301 0.2500 0.5576  6 O 2.68-2.88
Ba2 0.7699 0.7500 0.4424  6 O 2.68-2.88
Cs1 0.2860 0.2500 0.0700  6 O 3.14-3.37
Cs2 0.7140 0.7500 0.9300  6 O 3.14-3.37

Computed properties:
VASP energy = -6.62 eV/atom
SG = No. 11
Density = 4.0 Mg/m³